Record 1
! AlZn2Cu (GGA-PBEsol, relaxed); values from VASP
&SYSTEM
  ibrav = 0, nat = 4, ntyp = 3
/
ATOMIC_SPECIES
Zn 65.41 Zn.upf
Al 26.98 Al.upf
Cu 63.55 Cu.upf
CELL_PARAMETERS angstrom
-2.5122 0.7760 -0.3974
-1.2364 -2.3092 3.3065
2.6139 4.7151 1.5795
ATOMIC_POSITIONS crystal
Zn 0.2825 0.2825 0.5650
Zn 0.7175 0.7175 0.4350
Al 0.5000 0.0000 0.0000
Cu 0.0000 0.5000 0.0000
! * space group: Immm (71)
! * energy of formation: -0.05 eV per atom
! * energy: -11.8 eV per cell
! * DOS(E_F): 1.10 states/eV per cell

Record 2
! TlAs2HS (GGA-PBEsol, relaxed); values from VASP
&SYSTEM
  ibrav = 0, nat = 5, ntyp = 4
/
ATOMIC_SPECIES
As 74.92 As.upf
H 1.01 H.upf
Tl 204.38 Tl.upf
S 32.06 S.upf
CELL_PARAMETERS angstrom
-1.6191 -0.6969 -3.0187
-4.4130 -1.2875 2.6642
-1.6429 5.0449 -0.2834
ATOMIC_POSITIONS crystal
As 0.0000 0.0000 0.5000
H 0.5000 0.0000 0.0000
Tl 0.0000 0.0000 0.0000
S 0.5000 0.5000 0.5000
As 0.0000 0.5000 0.0000
! * space group: P4/mmm (123)
! * energy: -16.4 eV per cell
! * DOS(E_F): 2.50 states/eV per cell

Q: Among the records above, which one has the highest DOS(E_F)?
A: TlAs2HS